# RbTmCd2Pb2

A relaxed RbTmCd2Pb2 crystal (PBE, Alexandria).

Cell: 4.9826 4.9826 9.3351 Å, 90.00 90.00 120.00°
Sites, in units of the cell vectors:
Rb1 0.0000 0.0000 0.0000
Tm1 0.0000 0.0000 0.5000
Cd1 0.3333 0.6667 0.6353
Cd2 0.6667 0.3333 0.3647
Pb1 0.3333 0.6667 0.2722
Pb2 0.6667 0.3333 0.7278

**Crystal system**: trigonal
**ΔE_f**: -0.2116 eV/atom
**Energy**: -15.96 eV/cell


# RbPm2Te4Pb

A relaxed RbPm2Te4Pb crystal (PBE, Alexandria).

Cell: 8.2582 8.2582 16.7780 Å, 90.00 90.00 147.61°
Sites, in units of the cell vectors:
Rb1 0.1393 0.8607 0.7500
Rb2 0.8607 0.1393 0.2500
Pm1 0.3768 0.6232 0.5619
Pm2 0.3768 0.6232 0.9381
Pm3 0.6232 0.3768 0.0619
Pm4 0.6232 0.3768 0.4381
Te1 0.0000 0.0000 0.0000
Te2 0.0000 0.0000 0.5000
Te3 0.2657 0.7343 0.0953
Te4 0.2657 0.7343 0.4047
Te5 0.4689 0.5311 0.7500
Te6 0.5311 0.4689 0.2500
Te7 0.7343 0.2657 0.5953
Te8 0.7343 0.2657 0.9047
Pb1 0.1512 0.8488 0.2500
Pb2 0.8488 0.1512 0.7500

**Crystal system**: orthorhombic
**Energy relative to the elements, uncorrected**: -995 meV per atom
**Energy**: -69.41 eV/cell


# Er8InPb5

A relaxed Er8InPb5 crystal (PBE, Alexandria).

Cell: 8.0679 8.0679 8.0679 Å, 109.45 109.45 109.51°
Sites, in units of the cell vectors:
Er1 0.0165 0.1268 0.7503
Er2 0.2305 0.4803 0.6070
Er3 0.3765 0.2662 0.2497
Er4 0.3765 0.7695 0.2498
Er5 0.5197 0.1267 0.7502
Er6 0.7338 0.9835 0.1103
Er7 0.8733 0.6235 0.3930
Er8 0.8732 0.6235 0.8897
In1 0.7500 0.2500 0.5000
Pb1 0.0006 0.3760 0.1257
Pb2 0.1251 0.9994 0.3754
Pb3 0.2503 0.8749 0.8743
Pb4 0.5000 0.5000 0.0000
Pb5 0.6240 0.7497 0.6246

**Crystal system**: tetragonal
**ΔE_f**: -0.4655 eV/atom
**Energy**: -64.30 eV/cell